First-principles (GGA-PBE) data for a relaxed structure of CsRbPSe3, as listed in Alexandria.

Summary:
theoretical density: 3.3 g cm⁻³
space-group type: No. 12
M_tot: 0.000 μB per cell
raw formation energy: -0.77 eV/atom

a b c (Å): 7.704 7.704 9.236
angles (deg): 98.25 98.25 65.77
Fractional coordinates of all 12 atoms:
Cs (0.154, 0.154, 0.404)
Cs (0.846, 0.846, 0.596)
Rb (0.270, 0.730, 0.000)
Rb (0.730, 0.270, 0.000)
P (0.478, 0.478, 0.371)
P (0.522, 0.522, 0.629)
Se (0.167, 0.605, 0.307)
Se (0.372, 0.372, 0.715)
Se (0.395, 0.833, 0.693)
Se (0.605, 0.167, 0.307)
Se (0.628, 0.628, 0.285)
Se (0.833, 0.395, 0.693)

=====

First-principles (GGA-PBE) data for a relaxed structure of CsRb2P2Se6, as listed in Alexandria.

Summary:
theoretical density: 2.9 g cm⁻³
space-group type: No. 12
M_tot: 0.009 μB per cell
raw formation energy: -0.58 eV/atom

a b c (Å): 7.362 7.362 11.076
angles (deg): 109.24 109.24 60.02
Fractional coordinates of all 11 atoms:
Cs (0.000, 0.000, 0.000)
Rb (0.207, 0.207, 0.626)
Rb (0.793, 0.793, 0.374)
P (0.428, 0.428, 0.275)
P (0.572, 0.572, 0.725)
Se (0.227, 0.732, 0.698)
Se (0.267, 0.267, 0.299)
Se (0.268, 0.773, 0.302)
Se (0.732, 0.227, 0.698)
Se (0.733, 0.733, 0.701)
Se (0.773, 0.268, 0.302)

=====

First-principles (GGA-PBE) data for a relaxed structure of CsRbPSe4, as listed in Alexandria.

Summary:
theoretical density: 3.3 g cm⁻³
space-group type: No. 11
M_tot: 0.000 μB per cell
raw formation energy: -0.68 eV/atom

a b c (Å): 7.471 6.084 12.637
angles (deg): 90.00 98.05 90.00
Fractional coordinates of all 14 atoms:
Cs (0.232, 0.250, 0.461)
Cs (0.768, 0.750, 0.539)
Rb (0.247, 0.250, 0.923)
Rb (0.753, 0.750, 0.077)
P (0.313, 0.750, 0.229)
P (0.687, 0.250, 0.771)
Se (0.078, 0.750, 0.316)
Se (0.236, 0.750, 0.057)
Se (0.476, 0.508, 0.716)
Se (0.476, 0.992, 0.716)
Se (0.524, 0.008, 0.284)
Se (0.524, 0.492, 0.284)
Se (0.764, 0.250, 0.943)
Se (0.922, 0.250, 0.684)

=====

First-principles (GGA-PBE) data for a relaxed structure of Cs2RbP2Se6, as listed in Alexandria.

Summary:
theoretical density: 3.3 g cm⁻³
space-group type: No. 12
M_tot: 0.002 μB per cell
raw formation energy: -0.59 eV/atom

a b c (Å): 7.626 7.626 9.728
angles (deg): 106.77 106.77 57.70
Fractional coordinates of all 11 atoms:
Cs (0.217, 0.217, 0.207)
Cs (0.783, 0.783, 0.793)
Rb (0.000, 0.000, 0.500)
P (0.461, 0.461, 0.734)
P (0.539, 0.539, 0.266)
Se (0.208, 0.715, 0.179)
Se (0.285, 0.792, 0.821)
Se (0.290, 0.290, 0.647)
Se (0.710, 0.710, 0.353)
Se (0.715, 0.208, 0.179)
Se (0.792, 0.285, 0.821)

=====

First-principles (GGA-PBE) data for a relaxed structure of CsRb2SiP2, as listed in Alexandria.

Summary:
theoretical density: 2.9 g cm⁻³
space-group type: No. 72
M_tot: 0.001 μB per cell
raw formation energy: -0.24 eV/atom

a b c (Å): 9.397 9.397 9.397
angles (deg): 123.04 72.32 139.34
Fractional coordinates of all 12 atoms:
Cs (0.250, 0.250, 0.000)
Cs (0.750, 0.750, 0.000)
Rb (0.189, 0.665, 0.854)
Rb (0.311, 0.165, 0.477)
Rb (0.689, 0.835, 0.523)
Rb (0.811, 0.335, 0.146)
Si (0.250, 0.750, 0.500)
Si (0.750, 0.250, 0.500)
P (0.066, 0.350, 0.416)
P (0.434, 0.850, 0.285)
P (0.566, 0.150, 0.715)
P (0.934, 0.650, 0.584)

=====

First-principles (GGA-PBE) data for a relaxed structure of Cs2RbSiP2, as listed in Alexandria.

Summary:
theoretical density: 2.6 g cm⁻³
space-group type: No. 72
M_tot: 0.000 μB per cell
raw formation energy: -0.31 eV/atom

a b c (Å): 12.285 12.285 12.285
angles (deg): 141.92 49.08 150.21
Fractional coordinates of all 12 atoms:
Cs (0.148, 0.197, 0.345)
Cs (0.352, 0.697, 0.049)
Cs (0.648, 0.303, 0.951)
Cs (0.852, 0.803, 0.655)
Rb (0.250, 0.750, 0.500)
Rb (0.750, 0.250, 0.500)
Si (0.250, 0.250, 0.000)
Si (0.750, 0.750, 0.000)
P (0.050, 0.844, 0.894)
P (0.450, 0.344, 0.794)
P (0.550, 0.656, 0.206)
P (0.950, 0.156, 0.106)

=====

First-principles (GGA-PBE) data for a relaxed structure of CsRb2TlP, as listed in Alexandria.

Summary:
theoretical density: 3.4 g cm⁻³
space-group type: No. 123
ΔE_f: 0.120 eV/f.u.
M_tot: 0.083 μB per cell

a b c (Å): 6.823 6.823 5.679
angles (deg): 90.00 90.00 90.00
Fractional coordinates of all 5 atoms:
Cs (0.000, 0.000, 0.000)
Rb (0.000, 0.500, 0.500)
Rb (0.500, 0.000, 0.500)
Tl (0.500, 0.500, 0.000)
P (0.500, 0.500, 0.500)

=====

First-principles (GGA-PBE) data for a relaxed structure of Cs2RbTlP, as listed in Alexandria.

Summary:
theoretical density: 3.3 g cm⁻³
space-group type: No. 123
ΔE_f: 0.080 eV/f.u.
M_tot: 0.000 μB per cell

a b c (Å): 7.317 7.317 5.476
angles (deg): 90.00 90.00 90.00
Fractional coordinates of all 5 atoms:
Cs (0.000, 0.500, 0.000)
Cs (0.500, 0.000, 0.000)
Rb (0.000, 0.000, 0.500)
Tl (0.500, 0.500, 0.500)
P (0.500, 0.500, 0.000)

=====

First-principles (GGA-PBE) data for a relaxed structure of CsRb2ZnP, as listed in Alexandria.

Summary:
theoretical density: 2.8 g cm⁻³
space-group type: No. 123
ΔE_f: 0.189 eV/f.u.
M_tot: 0.000 μB per cell

a b c (Å): 6.960 6.960 4.963
angles (deg): 90.00 90.00 90.00
Fractional coordinates of all 5 atoms:
Cs (0.000, 0.000, 0.000)
Rb (0.000, 0.500, 0.500)
Rb (0.500, 0.000, 0.500)
Zn (0.500, 0.500, 0.000)
P (0.500, 0.500, 0.500)

=====

First-principles (GGA-PBE) data for a relaxed structure of CsReP3, as listed in Alexandria.

Summary:
theoretical density: 5.2 g cm⁻³
space-group type: No. 221
ΔE_f: 16.493 eV/f.u.
M_tot: 0.204 μB per cell

a b c (Å): 5.095 5.095 5.095
angles (deg): 90.00 90.00 90.00
Fractional coordinates of all 5 atoms:
Cs (0.000, 0.000, 0.000)
Re (0.500, 0.500, 0.500)
P (0.000, 0.000, 0.500)
P (0.000, 0.500, 0.000)
P (0.500, 0.000, 0.000)

=====

First-principles (GGA-PBE) data for a relaxed structure of CsReP3, as listed in Alexandria.

Summary:
theoretical density: 6.1 g cm⁻³
space-group type: No. 221
ΔE_f: 1.535 eV/f.u.
M_tot: 0.000 μB per cell

a b c (Å): 4.811 4.811 4.811
angles (deg): 90.00 90.00 90.00
Fractional coordinates of all 5 atoms:
Cs (0.000, 0.000, 0.000)
Re (0.500, 0.500, 0.500)
P (0.000, 0.500, 0.500)
P (0.500, 0.000, 0.500)
P (0.500, 0.500, 0.000)

=====

First-principles (GGA-PBE) data for a relaxed structure of Cs6ReP4, as listed in Alexandria.

Summary:
theoretical density: 4.0 g cm⁻³
space-group type: No. 186
ΔE_f: -3.859 eV/f.u.
M_tot: 0.002 μB per cell

a b c (Å): 11.024 11.024 8.642
angles (deg): 90.00 90.00 120.00
Fractional coordinates of all 22 atoms:
Cs (0.070, 0.535, 0.000)
Cs (0.143, 0.286, 0.320)
Cs (0.143, 0.857, 0.320)
Cs (0.286, 0.143, 0.820)
Cs (0.465, 0.535, 0.000)
Cs (0.465, 0.930, 0.000)
Cs (0.535, 0.070, 0.500)
Cs (0.535, 0.465, 0.500)
Cs (0.714, 0.857, 0.320)
Cs (0.857, 0.143, 0.820)
Cs (0.857, 0.714, 0.820)
Cs (0.930, 0.465, 0.500)
Re (0.333, 0.667, 0.604)
Re (0.667, 0.333, 0.104)
P (0.221, 0.441, 0.689)
P (0.221, 0.779, 0.689)
P (0.333, 0.667, 0.339)
P (0.441, 0.221, 0.189)
P (0.559, 0.779, 0.689)
P (0.667, 0.333, 0.839)
P (0.779, 0.221, 0.189)
P (0.779, 0.559, 0.189)

=====

First-principles (GGA-PBE) data for a relaxed structure of CsRePS2, as listed in Alexandria.

Summary:
theoretical density: 4.8 g cm⁻³
space-group type: No. 123
M_tot: 0.063 μB per cell
raw formation energy: 2.98 eV/atom

a b c (Å): 5.113 5.113 5.455
angles (deg): 90.00 90.00 90.00
Fractional coordinates of all 5 atoms:
Cs (0.000, 0.000, 0.000)
Re (0.500, 0.500, 0.500)
P (0.000, 0.000, 0.500)
S (0.000, 0.500, 0.000)
S (0.500, 0.000, 0.000)

=====

First-principles (GGA-PBE) data for a relaxed structure of CsReP2S, as listed in Alexandria.

Summary:
theoretical density: 6.0 g cm⁻³
space-group type: No. 123
M_tot: 0.012 μB per cell
raw formation energy: 0.12 eV/atom

a b c (Å): 4.685 4.685 5.204
angles (deg): 90.00 90.00 90.00
Fractional coordinates of all 5 atoms:
Cs (0.000, 0.000, 0.000)
Re (0.500, 0.500, 0.500)
P (0.000, 0.500, 0.500)
P (0.500, 0.000, 0.500)
S (0.500, 0.500, 0.000)

=====

First-principles (GGA-PBE) data for a relaxed structure of CsRePS2, as listed in Alexandria.

Summary:
theoretical density: 6.1 g cm⁻³
space-group type: No. 123
M_tot: 0.000 μB per cell
raw formation energy: -0.04 eV/atom

a b c (Å): 4.890 4.890 4.696
angles (deg): 90.00 90.00 90.00
Fractional coordinates of all 5 atoms:
Cs (0.000, 0.000, 0.000)
Re (0.500, 0.500, 0.500)
P (0.500, 0.500, 0.000)
S (0.000, 0.500, 0.500)
S (0.500, 0.000, 0.500)

=====

First-principles (GGA-PBE) data for a relaxed structure of CsReP2S8, as listed in Alexandria.

Summary:
theoretical density: 3.4 g cm⁻³
space-group type: No. 148
M_tot: 0.000 μB per cell
raw formation energy: -0.32 eV/atom

a b c (Å): 10.800 10.800 10.800
angles (deg): 32.03 32.03 32.03
Fractional coordinates of all 12 atoms:
Cs (0.000, 0.000, 0.000)
Re (0.500, 0.500, 0.500)
P (0.230, 0.230, 0.230)
P (0.770, 0.770, 0.770)
S (0.129, 0.451, 0.793)
S (0.207, 0.871, 0.549)
S (0.294, 0.294, 0.294)
S (0.451, 0.793, 0.129)
S (0.549, 0.207, 0.871)
S (0.706, 0.706, 0.706)
S (0.793, 0.129, 0.451)
S (0.871, 0.549, 0.207)

=====

First-principles (GGA-PBE) data for a relaxed structure of CsReP2S, as listed in Alexandria.

Summary:
theoretical density: 4.2 g cm⁻³
space-group type: No. 123
M_tot: 3.118 μB per cell
raw formation energy: 2.78 eV/atom

a b c (Å): 5.600 5.600 5.215
angles (deg): 90.00 90.00 90.00
Fractional coordinates of all 5 atoms:
Cs (0.000, 0.000, 0.000)
Re (0.500, 0.500, 0.500)
P (0.000, 0.500, 0.000)
P (0.500, 0.000, 0.000)
S (0.000, 0.000, 0.500)

=====

First-principles (GGA-PBE) data for a relaxed structure of CsP3Rh, as listed in Alexandria.

Summary:
theoretical density: 3.7 g cm⁻³
space-group type: No. 221
ΔE_f: 13.077 eV/f.u.
M_tot: 1.435 μB per cell

a b c (Å): 5.302 5.302 5.302
angles (deg): 90.00 90.00 90.00
Fractional coordinates of all 5 atoms:
Cs (0.000, 0.000, 0.000)
P (0.000, 0.000, 0.500)
P (0.000, 0.500, 0.000)
P (0.500, 0.000, 0.000)
Rh (0.500, 0.500, 0.500)

=====

First-principles (GGA-PBE) data for a relaxed structure of Cs2PRh, as listed in Alexandria.

Summary:
theoretical density: 3.6 g cm⁻³
space-group type: No. 122
ΔE_f: -0.678 eV/f.u.
M_tot: 0.000 μB per cell

a b c (Å): 12.843 12.843 4.462
angles (deg): 90.00 90.00 90.00
Fractional coordinates of all 16 atoms:
Cs (0.076, 0.250, 0.125)
Cs (0.250, 0.576, 0.375)
Cs (0.250, 0.924, 0.875)
Cs (0.424, 0.250, 0.625)
Cs (0.576, 0.750, 0.625)
Cs (0.750, 0.076, 0.875)
Cs (0.750, 0.424, 0.375)
Cs (0.924, 0.750, 0.125)
P (0.000, 0.000, 0.500)
P (0.000, 0.500, 0.750)
P (0.500, 0.000, 0.250)
P (0.500, 0.500, 0.000)
Rh (0.000, 0.000, 0.000)
Rh (0.000, 0.500, 0.250)
Rh (0.500, 0.000, 0.750)
Rh (0.500, 0.500, 0.500)

=====

First-principles (GGA-PBE) data for a relaxed structure of CsPRh3, as listed in Alexandria.

Summary:
theoretical density: 6.5 g cm⁻³
space-group type: No. 221
ΔE_f: 11.649 eV/f.u.
M_tot: 0.000 μB per cell

a b c (Å): 4.936 4.936 4.936
angles (deg): 90.00 90.00 90.00
Fractional coordinates of all 5 atoms:
Cs (0.000, 0.000, 0.000)
P (0.500, 0.500, 0.500)
Rh (0.000, 0.000, 0.500)
Rh (0.000, 0.500, 0.000)
Rh (0.500, 0.000, 0.000)

=====

First-principles (GGA-PBE) data for a relaxed structure of CsP2Rh2, as listed in Alexandria.

Summary:
theoretical density: 5.8 g cm⁻³
space-group type: No. 123
ΔE_f: -2.060 eV/f.u.
M_tot: 0.000 μB per cell

a b c (Å): 4.037 4.037 6.994
angles (deg): 90.00 90.00 90.00
Fractional coordinates of all 5 atoms:
Cs (0.000, 0.000, 0.000)
P (0.500, 0.500, 0.319)
P (0.500, 0.500, 0.681)
Rh (0.000, 0.500, 0.500)
Rh (0.500, 0.000, 0.500)

=====

First-principles (GGA-PBE) data for a relaxed structure of CsP2Rh2, as listed in Alexandria.

Summary:
theoretical density: 6.1 g cm⁻³
space-group type: No. 127
ΔE_f: -0.044 eV/f.u.
M_tot: 0.000 μB per cell

a b c (Å): 8.333 8.333 3.159
angles (deg): 90.00 90.00 90.00
Fractional coordinates of all 10 atoms:
Cs (0.000, 0.000, 0.000)
Cs (0.500, 0.500, 0.000)
P (0.106, 0.394, 0.500)
P (0.394, 0.894, 0.500)
P (0.606, 0.106, 0.500)
P (0.894, 0.606, 0.500)
Rh (0.115, 0.615, 0.000)
Rh (0.385, 0.115, 0.000)
Rh (0.615, 0.885, 0.000)
Rh (0.885, 0.385, 0.000)

=====

First-principles (GGA-PBE) data for a relaxed structure of CsPRh3, as listed in Alexandria.

Summary:
theoretical density: 8.0 g cm⁻³
space-group type: No. 221
ΔE_f: 1.059 eV/f.u.
M_tot: 0.000 μB per cell

a b c (Å): 4.610 4.610 4.610
angles (deg): 90.00 90.00 90.00
Fractional coordinates of all 5 atoms:
Cs (0.000, 0.000, 0.000)
P (0.500, 0.500, 0.500)
Rh (0.000, 0.500, 0.500)
Rh (0.500, 0.000, 0.500)
Rh (0.500, 0.500, 0.000)

=====

First-principles (GGA-PBE) data for a relaxed structure of CsP3Rh, as listed in Alexandria.

Summary:
theoretical density: 4.8 g cm⁻³
space-group type: No. 221
ΔE_f: 2.439 eV/f.u.
M_tot: 0.048 μB per cell

a b c (Å): 4.859 4.859 4.859
angles (deg): 90.00 90.00 90.00
Fractional coordinates of all 5 atoms:
Cs (0.000, 0.000, 0.000)
P (0.000, 0.500, 0.500)
P (0.500, 0.000, 0.500)
P (0.500, 0.500, 0.000)
Rh (0.500, 0.500, 0.500)

=====

First-principles (GGA-PBE) data for a relaxed structure of CsP2Rh2, as listed in Alexandria.

Summary:
theoretical density: 5.9 g cm⁻³
space-group type: No. 139
ΔE_f: -3.757 eV/f.u.
M_tot: 0.000 μB per cell

a b c (Å): 3.952 3.952 14.517
angles (deg): 90.00 90.00 90.00
Fractional coordinates of all 10 atoms:
Cs (0.000, 0.000, 0.000)
Cs (0.500, 0.500, 0.500)
P (0.000, 0.000, 0.337)
P (0.000, 0.000, 0.663)
P (0.500, 0.500, 0.163)
P (0.500, 0.500, 0.837)
Rh (0.000, 0.500, 0.250)
Rh (0.000, 0.500, 0.750)
Rh (0.500, 0.000, 0.250)
Rh (0.500, 0.000, 0.750)